# 1
First-principles (PBE) data for a relaxed structure of Sr2LiAl, as listed in the Alexandria database.

* D(E_F): 3.9 states/eV per cell
* E_form: -0.0428 eV per atom

abc: 5.1339 4.4044 6.5656
angles: 70.38 90.00 90.00
With the nearest neighbours (Å) after each atom.
Atoms (fractional coordinates):
Sr: 0.0000 0.9766 0.9220  3 Al 3.41-3.59, 4 Li 3.58
Sr: 0.5000 0.2663 0.3428  2 Li 3.27, 4 Al 3.52
Al: 0.0000 0.6868 0.5019  2 Li 2.94
Li: 0.5000 0.5704 0.7332  2 Al 2.94, 2 Sr 3.27

***

# 2
First-principles (PBE) data for a relaxed structure of Sr2Li2Al3, as listed in the Alexandria database.

* D(E_F): 3.3 states/eV per cell
* E_form: -0.0685 eV per atom

abc: 4.6740 6.6087 7.0763
angles: 111.51 109.28 90.00
With the nearest neighbours (Å) after each atom.
Atoms (fractional coordinates):
Sr: 0.1471 0.0452 0.2942  5 Al 3.35-3.45, 2 Li 3.68, 1 Sr 3.74
Sr: 0.8529 0.9548 0.7058  5 Al 3.35-3.45, 2 Li 3.68, 1 Sr 3.74
Li: 0.4162 0.5909 0.8325  5 Al 2.70-2.88, 1 Li 2.92
Li: 0.5838 0.4091 0.1675  5 Al 2.70-2.88, 1 Li 2.92
Al: 0.0000 0.5000 0.0000  2 Al 2.68, 4 Li 2.76
Al: 0.7861 0.4087 0.5722  3 Al 2.68-2.96, 3 Li 2.70-2.88
Al: 0.2139 0.5913 0.4278  3 Al 2.68-2.96, 3 Li 2.70-2.88

***

# 3
First-principles (PBE) data for a relaxed structure of Sr5LiAl6, as listed in the Alexandria database.

* D(E_F): 10.2 states/eV per cell
* E_form: -0.0845 eV per atom

abc: 8.3650 6.6449 8.1654
angles: 65.99 79.35 62.98
With the nearest neighbours (Å) after each atom.
Atoms (fractional coordinates):
Sr: 0.5000 0.2059 0.5882  6 Al 3.19-3.53
Sr: 0.0000 0.6429 0.7141  8 Al 3.44-3.62
Sr: 0.0000 0.3571 0.2859  8 Al 3.44-3.62
Sr: 0.5000 0.5000 0.0000  6 Al 3.33-3.49
Sr: 0.5000 0.7941 0.4118  6 Al 3.19-3.53
Al: 0.6887 0.9370 0.0000  1 Li 2.82, 3 Al 2.88
Al: 0.8174 0.9648 0.2904  1 Li 2.56, 1 Al 2.72
Al: 0.1826 0.7448 0.2904  1 Li 2.56, 1 Al 2.72
Al: 0.1826 0.0352 0.7096  1 Li 2.56, 1 Al 2.72
Al: 0.8174 0.2552 0.7096  1 Li 2.56, 1 Al 2.72
Al: 0.3113 0.0630 0.0000  1 Li 2.82, 3 Al 2.88
Li: 0.0000 0.0000 0.0000  6 Al 2.56-2.82

***

# 4
First-principles (PBE) data for a relaxed structure of Sr3Li2Al4, as listed in the Alexandria database.

* D(E_F): 5.6 states/eV per cell
* E_form: -0.1226 eV per atom

abc: 4.7723 6.3317 9.3530
angles: 106.81 90.00 112.14
With the nearest neighbours (Å) after each atom.
Atoms (fractional coordinates):
Sr: 0.3846 0.7691 0.6251  6 Al 3.40-3.47, 2 Li 3.40-3.55
Sr: 0.0000 0.0000 0.0000  6 Al 3.42-3.55, 2 Li 3.60
Sr: 0.6154 0.2309 0.3749  6 Al 3.40-3.47, 2 Li 3.40-3.55
Li: 0.3111 0.6221 0.2271  5 Al 2.75-2.78
Li: 0.6889 0.3779 0.7729  5 Al 2.75-2.78
Al: 0.7354 0.4709 0.0822  3 Li 2.75-2.77, 3 Al 2.78-2.92
Al: 0.0934 0.1867 0.6344  2 Al 2.77-2.78, 2 Li 2.78
Al: 0.9066 0.8133 0.3656  2 Al 2.77-2.78, 2 Li 2.78
Al: 0.2646 0.5291 0.9178  3 Li 2.75-2.77, 3 Al 2.78-2.92

***

# 5
First-principles (PBE) data for a relaxed structure of Sr4Li3Al, as listed in the Alexandria database.

* excess energy over the best structure of this formula in the dataset: 0 meV per atom
* D(E_F): 7.1 states/eV per cell
* E_form: -0.0223 eV per atom

abc: 5.8261 5.8261 10.1071
angles: 73.25 73.25 60.00
With the nearest neighbours (Å) after each atom.
Atoms (fractional coordinates):
Sr: 0.8795 0.8795 0.3614  1 Al 3.44, 7 Li 3.53-3.71
Sr: 0.3708 0.3708 0.8877  5 Li 3.44-3.70, 3 Al 3.53
Sr: 0.1205 0.1205 0.6386  1 Al 3.44, 7 Li 3.53-3.71
Sr: 0.6292 0.6292 0.1123  5 Li 3.44-3.70, 3 Al 3.53
Al: 0.0000 0.0000 0.0000  8 Sr 3.44-3.53
Li: 0.2503 0.2503 0.2491  8 Sr 3.44-3.71
Li: 0.7497 0.7497 0.7509  8 Sr 3.44-3.71
Li: 0.5000 0.5000 0.5000  8 Sr 3.61-3.70

***

# 6
First-principles (PBE) data for a relaxed structure of Sr3LiAl, as listed in the Alexandria database.

* excess energy over the best structure of this formula in the dataset: 0 meV per atom
* D(E_F): 8.9 states/eV per cell
* E_form: -0.0496 eV per atom

abc: 5.7553 5.7588 11.5709
angles: 90.00 75.60 90.00
With the nearest neighbours (Å) after each atom.
Atoms (fractional coordinates):
Sr: 0.7514 0.2500 0.1456  2 Al 3.48, 2 Li 3.52
Sr: 0.3984 0.2500 0.8516  2 Al 3.46, 2 Li 3.50
Sr: 0.5750 0.2500 0.4983  4 Li 3.46-3.49, 4 Al 3.51-3.53
Sr: 0.2500 0.7500 0.1484  2 Al 3.46, 2 Li 3.50
Sr: 0.8970 0.7500 0.8544  2 Al 3.48, 2 Li 3.52
Sr: 0.0733 0.7500 0.5017  4 Li 3.46-3.49, 4 Al 3.51-3.53
Li: 0.4873 0.7500 0.6736  8 Sr 3.46-3.52
Li: 0.1610 0.2500 0.3264  8 Sr 3.46-3.52
Al: 0.6644 0.7500 0.3196  8 Sr 3.46-3.53
Al: 0.9840 0.2500 0.6804  8 Sr 3.46-3.53

***

# 7
First-principles (PBE) data for a relaxed structure of Sr3Li2Al9, as listed in the Alexandria database.

* D(E_F): 3.9 states/eV per cell
* E_form: -0.2213 eV per atom

abc: 4.6206 8.7074 8.7074
angles: 70.08 74.61 74.61
With the nearest neighbours (Å) after each atom.
Atoms (fractional coordinates):
Sr: 0.0000 0.0000 0.0000  12 Al 3.37-3.46
Sr: 0.6983 0.3017 0.3017  2 Li 3.27, 14 Al 3.29-3.65
Sr: 0.3017 0.6983 0.6983  2 Li 3.27, 14 Al 3.29-3.65
Li: 0.5000 0.3121 0.6879  8 Al 2.78-3.01
Li: 0.5000 0.6879 0.3121  8 Al 2.78-3.01
Al: 0.0000 0.5000 0.5000  4 Al 2.91, 4 Li 2.98
Al: 0.6610 0.9773 0.7007  4 Al 2.72-2.80, 1 Li 2.78
Al: 0.3390 0.0227 0.2993  4 Al 2.72-2.80, 1 Li 2.78
Al: 0.6610 0.7007 0.9773  4 Al 2.72-2.80, 1 Li 2.78
Al: 0.3390 0.2993 0.0227  4 Al 2.72-2.80, 1 Li 2.78
Al: 0.8595 0.8617 0.4192  4 Al 2.72-2.91, 2 Li 3.01
Al: 0.1405 0.1383 0.5808  4 Al 2.72-2.91, 2 Li 3.01
Al: 0.8595 0.4192 0.8617  4 Al 2.72-2.91, 2 Li 3.01
Al: 0.1405 0.5808 0.1383  4 Al 2.72-2.91, 2 Li 3.01

***

# 8
First-principles (PBE) data for a relaxed structure of Sr2Li2Al, as listed in the Alexandria database.

* excess energy over the best structure of this formula in the dataset: 100 meV per atom
* D(E_F): 8.7 states/eV per cell
* E_form: 0.0323 eV per atom

abc: 7.7233 7.7233 5.0738
angles: 90.00 90.00 90.00
With the nearest neighbours (Å) after each atom.
Atoms (fractional coordinates):
Sr: 0.1921 0.6921 0.5000  2 Li 3.19
Sr: 0.6921 0.8079 0.5000  2 Li 3.19
Sr: 0.8079 0.3079 0.5000  2 Li 3.19
Sr: 0.3079 0.1921 0.5000  2 Li 3.19
Al: 0.0000 0.0000 0.0000  4 Li 3.03
Al: 0.5000 0.5000 0.0000  4 Li 3.03
Li: 0.3697 0.8697 0.0000  1 Li 2.85, 2 Al 3.03
Li: 0.8697 0.6303 0.0000  1 Li 2.85, 2 Al 3.03
Li: 0.6303 0.1303 0.0000  1 Li 2.85, 2 Al 3.03
Li: 0.1303 0.3697 0.0000  1 Li 2.85, 2 Al 3.03

***

# 9
First-principles (PBE) data for a relaxed structure of Sr4LiAl, as listed in the Alexandria database.

* D(E_F): 8.3 states/eV per cell
* E_form: 0.5165 eV per atom

abc: 7.3312 7.3312 7.3312
angles: 60.00 60.00 60.00
With the nearest neighbours (Å) after each atom.
Atoms (fractional coordinates):
Sr: 0.8732 0.3756 0.3756  6 Sr 3.65-3.68
Sr: 0.3756 0.3756 0.8732  6 Sr 3.65-3.68
Sr: 0.3756 0.8732 0.3756  6 Sr 3.65-3.68
Sr: 0.3756 0.3756 0.3756  6 Sr 3.65-3.68
Li: 0.0000 0.0000 0.0000  12 Sr 4.30, 4 Al 4.49
Al: 0.7500 0.7500 0.7500  12 Sr 4.30, 4 Li 4.49

***

# 10
First-principles (PBE) data for a relaxed structure of Sr3Li2Al3, as listed in the Alexandria database.

* D(E_F): 11.9 states/eV per cell
* E_form: -0.0340 eV per atom

abc: 5.3917 6.4053 14.1539
angles: 90.00 90.00 114.89
With the nearest neighbours (Å) after each atom.
Atoms (fractional coordinates):
Sr: 0.6480 0.2960 0.0365  3 Li 3.23-3.56, 4 Al 3.36-3.45, 1 Sr 3.59
Sr: 0.3520 0.7040 0.5365  3 Li 3.23-3.56, 4 Al 3.36-3.45, 1 Sr 3.59
Sr: 0.6480 0.2960 0.4635  3 Li 3.23-3.56, 4 Al 3.36-3.45, 1 Sr 3.59
Sr: 0.3520 0.7040 0.9635  3 Li 3.23-3.56, 4 Al 3.36-3.45, 1 Sr 3.59
Sr: 0.4510 0.9020 0.2500  7 Al 3.39-3.75, 2 Li 3.56, 2 Sr 3.79
Sr: 0.5490 0.0980 0.7500  7 Al 3.39-3.75, 2 Li 3.56, 2 Sr 3.79
Li: 0.8359 0.6718 0.6620  1 Li 2.49
Li: 0.1641 0.3282 0.1620  1 Li 2.49
Li: 0.8359 0.6718 0.8380  1 Li 2.49
Li: 0.1641 0.3282 0.3380  1 Li 2.49
Al: 0.9370 0.8740 0.0912  1 Li 2.82, 2 Al 2.94-2.97
Al: 0.0630 0.1260 0.5912  1 Li 2.82, 2 Al 2.94-2.97
Al: 0.9370 0.8740 0.4088  1 Li 2.82, 2 Al 2.94-2.97
Al: 0.0630 0.1260 0.9088  1 Li 2.82, 2 Al 2.94-2.97
Al: 0.7736 0.5472 0.2500  2 Al 2.94, 4 Li 3.23
Al: 0.2264 0.4528 0.7500  2 Al 2.94, 4 Li 3.23

***

# 11
First-principles (PBE) data for a relaxed structure of Sr2Li3Al, as listed in the Alexandria database.

* D(E_F): 4.2 states/eV per cell
* E_form: -0.0360 eV per atom

abc: 6.1750 6.1750 6.2519
angles: 90.75 118.88 119.85
With the nearest neighbours (Å) after each atom.
Atoms (fractional coordinates):
Sr: 0.7456 0.3734 0.1190  3 Al 3.61-3.63, 9 Li 3.63-3.69, 4 Sr 3.77-3.93
Sr: 0.2544 0.6266 0.8810  3 Al 3.61-3.63, 9 Li 3.63-3.69, 4 Sr 3.77-3.93
Li: 0.5000 0.5000 0.5000  4 Li 3.09, 2 Al 3.13
Li: 0.0000 0.0000 0.5000  4 Li 3.09, 2 Al 3.13
Li: 0.5000 0.0000 0.5000  4 Li 3.09, 2 Al 3.16
Al: 0.0000 0.0000 0.0000  6 Li 3.13-3.16

***

# 12
First-principles (PBE) data for a relaxed structure of Sr2Li16Al, as listed in the Alexandria database.

* D(E_F): 11.6 states/eV per cell
* E_form: -0.0005 eV per atom

abc: 7.6526 7.6526 7.6526
angles: 83.98 83.98 83.98
With the nearest neighbours (Å) after each atom.
Atoms (fractional coordinates):
Sr: 0.6587 0.6587 0.6587  1 Al 3.55, 15 Li 3.60-3.79
Sr: 0.3497 0.3497 0.3497  19 Li 3.67-4.10
Li: 0.7255 0.9978 0.2703  5 Li 2.79-3.03, 1 Al 3.12
Li: 0.9978 0.2703 0.7255  5 Li 2.79-3.03, 1 Al 3.12
Li: 0.2703 0.7255 0.9978  5 Li 2.79-3.03, 1 Al 3.12
Li: 0.9978 0.7255 0.2703  5 Li 2.79-3.03, 1 Al 3.12
Li: 0.7255 0.2703 0.9978  5 Li 2.79-3.03, 1 Al 3.12
Li: 0.2703 0.9978 0.7255  5 Li 2.79-3.03, 1 Al 3.12
Li: 0.3496 0.8615 0.3496  9 Li 3.01-3.17
Li: 0.8615 0.3496 0.3496  9 Li 3.01-3.17
Li: 0.3496 0.3496 0.8615  9 Li 3.01-3.17
Li: 0.6579 0.1297 0.6579  6 Li 2.81-3.13, 1 Al 3.06
Li: 0.1297 0.6579 0.6579  6 Li 2.81-3.13, 1 Al 3.06
Li: 0.6579 0.6579 0.1297  6 Li 2.81-3.13, 1 Al 3.06
Li: 0.9913 0.5160 0.9913  8 Li 2.81-3.01, 1 Al 2.99
Li: 0.5160 0.9913 0.9913  8 Li 2.81-3.01, 1 Al 2.99
Li: 0.9913 0.9913 0.5160  8 Li 2.81-3.01, 1 Al 2.99
Li: 0.0973 0.0973 0.0973  1 Al 2.84, 9 Li 3.14-3.17
Al: 0.9023 0.9023 0.9023  13 Li 2.84-3.12